No. 1
Material: V4Pd5Ru4
Method: DFT, PBE-GGA
State: optimized geometry

a = 9.8236 Å, b = 9.8236 Å, c = 3.8795 Å
α = 90.00°, β = 90.00°, γ = 90.00°
Space group I4/m (No. 87)
One atom of each set of equivalent atoms:
V  0.1362  0.2462  0.0000 [8 per cell]
Pd  0.0000  0.0000  0.0000 [2 per cell]
Pd  0.0527  0.8097  0.5000 [8 per cell]
Ru  0.0994  0.6209  0.0000 [8 per cell]

Results
**ΔH_f (0 K)**: -0.125 eV per atom

No. 2
Material: BaEuPd
Method: DFT, PBE-GGA
State: optimized geometry

a = 7.5807 Å, b = 7.5807 Å, c = 7.5807 Å
α = 90.00°, β = 90.00°, γ = 90.00°
Space group F-43m (No. 216)
One atom of each set of equivalent atoms:
Ba  0.0000  0.0000  0.0000 [4 per cell]
Eu  0.0000  0.0000  0.5000 [4 per cell]
Pd  0.2500  0.2500  0.2500 [4 per cell]

Results
**ΔH_f (0 K)**: -0.377 eV per atom
**Energy above the most stable polymorph in this dataset**: 0.09 eV per formula unit

No. 3
Material: Pa6GeS5
Method: DFT, PBE-GGA
State: optimized geometry

a = 6.9308 Å, b = 12.0270 Å, c = 6.6285 Å
α = 90.00°, β = 110.50°, γ = 90.00°
Space group C2/m (No. 12)
One atom of each set of equivalent atoms:
Pa  0.2423  0.0000  0.2549 [4 per cell]
Pa  0.2419  0.1709  0.7396 [8 per cell]
Ge  0.0000  0.5000  0.0000 [2 per cell]
S  0.0000  0.0000  0.5000 [2 per cell]
S  0.0000  0.1681  0.0000 [4 per cell]
S  0.0000  0.3397  0.5000 [4 per cell]

Results
**Formation energy (no corrections)**: -1.42 eV per atom

No. 4
Material: Sm2Ga3Au9
Method: DFT, PBE-GGA
State: optimized geometry

a = 13.9869 Å, b = 8.0743 Å, c = 10.7908 Å
α = 90.00°, β = 115.53°, γ = 90.00°
Space group C2/c (No. 15)
One atom of each set of equivalent atoms:
Sm  0.1676  0.0847  0.2461 [8 per cell]
Ga  0.0864  0.2270  0.4947 [8 per cell]
Ga  0.2500  0.2500  0.0000 [4 per cell]
Au  0.0000  0.3609  0.2500 [4 per cell]
Au  0.0573  0.0851  0.9156 [8 per cell]
Au  0.1103  0.4086  0.0728 [8 per cell]
Au  0.1124  0.3115  0.7405 [8 per cell]
Au  0.2240  0.4175  0.4285 [8 per cell]

Results
**ΔH_f (0 K)**: -0.497 eV per atom

No. 5
Material: YHoCoOs
Method: DFT, PBE-GGA
State: optimized geometry

a = 6.7531 Å, b = 6.7531 Å, c = 6.7531 Å
α = 90.00°, β = 90.00°, γ = 90.00°
Space group F-43m (No. 216)
One atom of each set of equivalent atoms:
Y  0.0000  0.0000  0.0000 [4 per cell]
Ho  0.0000  0.0000  0.5000 [4 per cell]
Co  0.2500  0.2500  0.7500 [4 per cell]
Os  0.2500  0.2500  0.2500 [4 per cell]

Results
**ΔH_f (0 K)**: -0.115 eV per atom

No. 6
Material: HfCd5Pd6
Method: DFT, PBE-GGA
State: optimized geometry

a = 4.4950 Å, b = 6.9729 Å, c = 7.0434 Å
α = 90.00°, β = 106.22°, γ = 90.00°
Space group P2/m (No. 10)
One atom of each set of equivalent atoms:
Hf  0.0000  0.0000  0.0000 [1 per cell]
Cd  0.0000  0.5000  0.0000 [1 per cell]
Cd  0.3358  0.0000  0.6587 [2 per cell]
Cd  0.3401  0.5000  0.6685 [2 per cell]
Pd  0.1539  0.2467  0.3227 [4 per cell]
Pd  0.5000  0.2350  0.0000 [2 per cell]

Results
**ΔH_f (0 K)**: -0.475 eV per atom

No. 7
Material: Al2GaIr
Method: DFT, PBE-GGA
State: optimized geometry

a = 3.6334 Å, b = 7.9764 Å, c = 4.8613 Å
α = 90.00°, β = 111.81°, γ = 90.00°
Space group P2_1/m (No. 11)
One atom of each set of equivalent atoms:
Al  0.1440  0.0461  0.2870 [4 per cell]
Ga  0.4478  0.2500  0.8953 [2 per cell]
Ir  0.2701  0.7500  0.5384 [2 per cell]

Results
**ΔH_f (0 K)**: -0.523 eV per atom

No. 8
Material: FeCuGe3
Method: DFT, PBE-GGA
State: optimized geometry

a = 4.5461 Å, b = 4.5461 Å, c = 4.5461 Å
α = 90.00°, β = 90.00°, γ = 90.00°
Space group Pm-3m (No. 221)
One atom of each set of equivalent atoms:
Fe  0.0000  0.0000  0.0000 [1 per cell]
Cu  0.5000  0.5000  0.5000 [1 per cell]
Ge  0.0000  0.0000  0.5000 [3 per cell]

Results
**ΔH_f (0 K)**: 0.388 eV per atom
**Energy above the most stable polymorph in this dataset**: 0.00 eV per formula unit

The total magnetization results, record by record, are as follows: 0.00 2.37 0.00 0.00 0.00 0.00 0.00 0.20 μB per atom.
The E_tot results, record by record, are as follows: -202.340 -74.079 -198.491 -219.879 -119.346 -51.385 -42.932 -24.469 eV per cell.